## Zr3Tl4Te8Pd (PBE)

Data for a relaxed Zr3Tl4Te8Pd crystal.

**Crystal system**: monoclinic
**ΔE_f (raw)**: -8.811 eV per formula unit
**Space-group type**: C2/m (12)
**Density**: 7.423 g cm⁻³

a = 8.327 Å, b = 8.327 Å, c = 9.564 Å
α = 115.86°, β = 115.86°, γ = 60.04°
Sites, in units of the cell vectors:
Zr  0.000  0.000  0.000
Zr  0.000  0.500  0.000
Zr  0.500  0.000  0.000
Tl  0.000  0.000  0.500
Tl  0.000  0.500  0.500
Tl  0.500  0.000  0.500
Tl  0.500  0.500  0.500
Te  0.237  0.237  0.210
Te  0.240  0.729  0.198
Te  0.271  0.760  0.802
Te  0.272  0.272  0.802
Te  0.728  0.728  0.198
Te  0.729  0.240  0.198
Te  0.760  0.271  0.802
Te  0.763  0.763  0.790
Pd  0.500  0.500  0.000



## Zr3Tl3Te8Pd (PBE)

Data for a relaxed Zr3Tl3Te8Pd crystal.

**Crystal system**: triclinic
**ΔE_f (raw)**: -8.577 eV per formula unit
**Space-group type**: P-1 (2)
**Density**: 6.808 g cm⁻³

a = 8.214 Å, b = 8.230 Å, c = 9.618 Å
α = 64.81°, β = 64.81°, γ = 60.19°
Sites, in units of the cell vectors:
Zr  0.000  0.000  0.000
Zr  0.000  0.500  0.000
Zr  0.500  0.000  0.000
Tl  0.000  0.500  0.500
Tl  0.500  0.000  0.500
Tl  0.500  0.500  0.500
Te  0.236  0.237  0.791
Te  0.240  0.729  0.803
Te  0.270  0.762  0.198
Te  0.274  0.274  0.195
Te  0.726  0.726  0.805
Te  0.730  0.238  0.802
Te  0.760  0.271  0.197
Te  0.764  0.763  0.209
Pd  0.500  0.500  0.000



## ZrTlTe3Pd (PBE)

Data for a relaxed ZrTlTe3Pd crystal.

**Crystal system**: monoclinic
**ΔE_f (raw)**: -3.796 eV per formula unit
**Space-group type**: P2_1/m (11)
**Density**: 7.367 g cm⁻³

a = 8.786 Å, b = 3.989 Å, c = 10.898 Å
α = 90.00°, β = 112.13°, γ = 90.00°
Sites, in units of the cell vectors:
Zr  0.217  0.250  0.179
Zr  0.783  0.750  0.821
Tl  0.214  0.750  0.706
Tl  0.786  0.250  0.294
Te  0.054  0.250  0.879
Te  0.248  0.250  0.450
Te  0.437  0.750  0.147
Te  0.563  0.250  0.853
Te  0.752  0.750  0.550
Te  0.946  0.750  0.121
Pd  0.417  0.750  0.390
Pd  0.583  0.250  0.610



## TmTe2Pd (PBE)

Data for a relaxed TmTe2Pd crystal.

**Crystal system**: trigonal
**ΔE_f (raw)**: -0.892 eV per formula unit
**Space-group type**: R-3m (166)
**Density**: 7.319 g cm⁻³

a = 9.241 Å, b = 9.241 Å, c = 9.241 Å
α = 24.61°, β = 24.61°, γ = 24.61°
Sites, in units of the cell vectors:
Tm  0.000  0.000  0.000
Te  0.111  0.111  0.111
Te  0.889  0.889  0.889
Pd  0.500  0.500  0.500



## Tm5Te2Pd2 (PBE)

Data for a relaxed Tm5Te2Pd2 crystal.

**Crystal system**: orthorhombic
**ΔE_f (raw)**: -8.892 eV per formula unit
**Space-group type**: Cmce (64)
**Density**: 9.476 g cm⁻³

a = 8.672 Å, b = 8.672 Å, c = 7.687 Å
α = 90.00°, β = 90.00°, γ = 52.72°
Sites, in units of the cell vectors:
Tm  0.000  0.000  0.000
Tm  0.038  0.718  0.659
Tm  0.218  0.538  0.159
Tm  0.282  0.962  0.659
Tm  0.462  0.782  0.159
Tm  0.500  0.500  0.500
Tm  0.538  0.218  0.841
Tm  0.718  0.038  0.341
Tm  0.782  0.462  0.841
Tm  0.962  0.282  0.341
Te  0.209  0.209  0.000
Te  0.291  0.291  0.500
Te  0.709  0.709  0.500
Te  0.791  0.791  0.000
Pd  0.138  0.862  0.365
Pd  0.362  0.638  0.865
Pd  0.638  0.362  0.135
Pd  0.862  0.138  0.635



## TmTePd6 (PBE)

Data for a relaxed TmTePd6 crystal.

**Crystal system**: tetragonal
**ΔE_f (raw)**: -4.393 eV per formula unit
**Space-group type**: P4/mmm (123)
**Density**: 11.362 g cm⁻³

a = 4.083 Å, b = 4.083 Å, c = 8.197 Å
α = 90.00°, β = 90.00°, γ = 90.00°
Sites, in units of the cell vectors:
Tm  0.000  0.000  0.000
Te  0.000  0.000  0.500
Pd  0.000  0.500  0.251
Pd  0.000  0.500  0.749
Pd  0.500  0.000  0.251
Pd  0.500  0.000  0.749
Pd  0.500  0.500  0.000
Pd  0.500  0.500  0.500



## Tm2TePd9 (PBE)

Data for a relaxed Tm2TePd9 crystal.

**Crystal system**: tetragonal
**ΔE_f (raw)**: -8.068 eV per formula unit
**Space-group type**: P4/mmm (123)
**Density**: 11.511 g cm⁻³

a = 4.086 Å, b = 4.086 Å, c = 12.300 Å
α = 90.00°, β = 90.00°, γ = 90.00°
Sites, in units of the cell vectors:
Tm  0.000  0.000  0.164
Tm  0.000  0.000  0.836
Te  0.000  0.000  0.500
Pd  0.000  0.500  0.000
Pd  0.000  0.500  0.335
Pd  0.000  0.500  0.665
Pd  0.500  0.000  0.000
Pd  0.500  0.000  0.335
Pd  0.500  0.000  0.665
Pd  0.500  0.500  0.170
Pd  0.500  0.500  0.500
Pd  0.500  0.500  0.830



## Tm3Te2Pd (PBE)

Data for a relaxed Tm3Te2Pd crystal.

**Crystal system**: orthorhombic
**ΔE_f (raw)**: -6.559 eV per formula unit
**Space-group type**: Fddd (70)
**Density**: 8.804 g cm⁻³

a = 13.917 Å, b = 13.271 Å, c = 7.423 Å
α = 79.02°, β = 69.41°, γ = 31.58°
Sites, in units of the cell vectors:
Tm  0.037  0.533  0.183
Tm  0.094  0.656  0.656
Tm  0.183  0.747  0.037
Tm  0.253  0.817  0.467
Tm  0.344  0.906  0.906
Tm  0.467  0.963  0.253
Tm  0.533  0.037  0.747
Tm  0.656  0.094  0.094
Tm  0.747  0.183  0.533
Tm  0.817  0.253  0.963
Tm  0.906  0.344  0.344
Tm  0.963  0.467  0.817
Te  0.131  0.131  0.619
Te  0.296  0.296  0.454
Te  0.381  0.381  0.869
Te  0.454  0.454  0.296
Te  0.546  0.546  0.704
Te  0.619  0.619  0.131
Te  0.704  0.704  0.546
Te  0.869  0.869  0.381
Pd  0.042  0.042  0.208
Pd  0.208  0.208  0.042
Pd  0.792  0.792  0.958
Pd  0.958  0.958  0.792



- Look up the density of the fourth one.
  7.319 g cm⁻³